Model a:
# CaMgTl2Rh | Alexandria via LeMat-Bulk | PBE | optimized geometry
# Calculated volume = 137 Å³ per cell
# Density of states at the Fermi level = 3.79 states/eV per cell
data_CaMgTl2Rh
_chemical_formula_sum 'Ca1 Mg1 Tl2 Rh1'
_cell_length_a 5.266
_cell_length_b 5.266
_cell_length_c 4.947
_cell_angle_alpha 90.00
_cell_angle_beta 90.00
_cell_angle_gamma 90.00
_symmetry_space_group_name_H-M 'P 4/m m m'
_symmetry_Int_Tables_number 123
_symmetry_space_group_name_Hall '-P 4 2'
loop_
_atom_site_label
_atom_site_type_symbol
_atom_site_fract_x
_atom_site_fract_y
_atom_site_fract_z
_atom_site_occupancy
Ca1 Ca 0.000 0.000 0.000 1
Mg1 Mg 0.500 0.500 0.000 1
Tl1 Tl 0.000 0.500 0.500 1
Rh1 Rh 0.500 0.500 0.500 1

***

Model b:
# CaMgTl2Rh | Alexandria via LeMat-Bulk | PBE | optimized geometry
# Calculated volume = 150 Å³ per cell
# Density of states at the Fermi level = 2.83 states/eV per cell
data_CaMgTl2Rh
_chemical_formula_sum 'Ca1 Mg1 Tl2 Rh1'
_cell_length_a 5.304
_cell_length_b 5.304
_cell_length_c 5.315
_cell_angle_alpha 90.00
_cell_angle_beta 90.00
_cell_angle_gamma 90.00
_symmetry_space_group_name_H-M 'P 4/m m m'
_symmetry_Int_Tables_number 123
_symmetry_space_group_name_Hall '-P 4 2'
loop_
_atom_site_label
_atom_site_type_symbol
_atom_site_fract_x
_atom_site_fract_y
_atom_site_fract_z
_atom_site_occupancy
Ca1 Ca 0.000 0.000 0.000 1
Mg1 Mg 0.500 0.500 0.000 1
Tl1 Tl 0.000 0.500 0.500 1
Rh1 Rh 0.000 0.000 0.500 1

***

What should be chosen as the least stable of them? Choose model b.